(1)
An optimized crystal structure of Er2MnH. Source: Alexandria via LeMat-Bulk, functional GGA-PBE.

a = 8.6891 Å, b = 8.6891 Å, c = 8.6891 Å
α = 22.12°, β = 22.12°, γ = 22.12°
Sites, in units of the cell vectors:
Er  0.1135  0.1135  0.1135
Er  0.8865  0.8865  0.8865
Mn  0.0000  0.0000  0.0000
H  0.5000  0.5000  0.5000

symmetry: No. 166
DFT total energy: -5.093 eV/atom
V: 20.38 Å³ per atom

***

(2)
An optimized crystal structure of KZr2F11. Source: Alexandria via LeMat-Bulk, functional GGA-PBE.

a = 9.0819 Å, b = 9.0819 Å, c = 9.0819 Å
α = 127.47°, β = 116.52°, γ = 86.86°
Sites, in units of the cell vectors:
K  0.2500  0.2500  0.0000
K  0.7500  0.7500  0.0000
Zr  0.1760  0.6618  0.8378
Zr  0.3240  0.1618  0.4858
Zr  0.6760  0.8382  0.5142
Zr  0.8240  0.3382  0.1622
F  0.0000  0.5000  0.5000
F  0.0594  0.3590  0.1848
F  0.0706  0.0590  0.3786
F  0.1742  0.8746  0.8152
F  0.1804  0.5590  0.9884
F  0.2345  0.9272  0.1617
F  0.2655  0.4272  0.6928
F  0.3196  0.3080  0.3786
F  0.3258  0.1410  0.7004
F  0.4294  0.8080  0.9884
F  0.4406  0.6254  0.2996
F  0.5000  0.0000  0.5000
F  0.5594  0.3746  0.7004
F  0.5706  0.1920  0.0116
F  0.6742  0.8590  0.2996
F  0.6804  0.6920  0.6214
F  0.7345  0.5728  0.3072
F  0.7655  0.0728  0.8383
F  0.8196  0.4410  0.0116
F  0.8258  0.1254  0.1848
F  0.9294  0.9410  0.6214
F  0.9406  0.6410  0.8152

symmetry: No. 72
ΔE_f (raw): -2.960 eV/atom
V: 18.09 Å³ per atom

***

(3)
An optimized crystal structure of Sr2LaSb. Source: Alexandria via LeMat-Bulk, functional GGA-PBE.

a = 4.2563 Å, b = 4.2563 Å, c = 8.8873 Å
α = 90.00°, β = 90.00°, γ = 90.00°
Sites, in units of the cell vectors:
Sr  0.0000  0.0000  0.0000
Sr  0.5000  0.5000  0.3385
La  0.0000  0.0000  0.6153
Sb  0.5000  0.5000  0.7774

symmetry: No. 99
ΔE_f (raw): -0.492 eV/atom
V: 40.25 Å³ per atom

***

(4)
An optimized crystal structure of TaSb5. Source: Alexandria via LeMat-Bulk, functional GGA-PBE.

a = 7.2260 Å, b = 7.2260 Å, c = 9.3476 Å
α = 118.48°, β = 118.48°, γ = 24.55°
Sites, in units of the cell vectors:
Ta  0.0000  0.0000  0.0000
Sb  0.3082  0.3082  0.7718
Sb  0.4415  0.4415  0.2259
Sb  0.6704  0.6704  0.9803
Sb  0.6716  0.6716  0.3164
Sb  0.9571  0.9571  0.6550

symmetry: No. 8
ΔE_f (raw): 0.148 eV/atom
polymorph energy (0 for the lowest one): 0.0 meV per atom
V: 29.50 Å³ per atom

***

(5)
An optimized crystal structure of SbBr4. Source: Alexandria via LeMat-Bulk, functional GGA-PBE.

a = 5.9585 Å, b = 5.9585 Å, c = 5.9585 Å
α = 109.47°, β = 109.47°, γ = 109.47°
Sites, in units of the cell vectors:
Sb  0.0000  0.0000  0.0000
Br  0.0000  0.0000  0.5000
Br  0.0000  0.5000  0.0000
Br  0.5000  0.0000  0.0000
Br  0.5000  0.5000  0.5000

symmetry: No. 229
ΔE_f (raw): -0.085 eV/atom
polymorph energy (0 for the lowest one): 302.7 meV per atom
V: 32.57 Å³ per atom

***

(6)
An optimized crystal structure of TlCr2Pb. Source: Alexandria via LeMat-Bulk, functional GGA-PBE.

a = 5.8349 Å, b = 5.8349 Å, c = 4.9253 Å
α = 107.34°, β = 107.34°, γ = 32.80°
Sites, in units of the cell vectors:
Tl  0.0000  0.0000  0.0000
Cr  0.2525  0.2525  0.9089
Cr  0.5088  0.5088  0.5074
Pb  0.7608  0.7608  0.4129

symmetry: No. 8
polymorph energy (0 for the lowest one): 273.1 meV per atom
formation energy from the elements: 0.69 eV/atom
V: 21.58 Å³ per atom

***

Please write out number 2 again, unchanged.
An optimized crystal structure of KZr2F11. Source: Alexandria via LeMat-Bulk, functional GGA-PBE.

a = 9.0819 Å, b = 9.0819 Å, c = 9.0819 Å
α = 127.47°, β = 116.52°, γ = 86.86°
Sites, in units of the cell vectors:
K  0.2500  0.2500  0.0000
K  0.7500  0.7500  0.0000
Zr  0.1760  0.6618  0.8378
Zr  0.3240  0.1618  0.4858
Zr  0.6760  0.8382  0.5142
Zr  0.8240  0.3382  0.1622
F  0.0000  0.5000  0.5000
F  0.0594  0.3590  0.1848
F  0.0706  0.0590  0.3786
F  0.1742  0.8746  0.8152
F  0.1804  0.5590  0.9884
F  0.2345  0.9272  0.1617
F  0.2655  0.4272  0.6928
F  0.3196  0.3080  0.3786
F  0.3258  0.1410  0.7004
F  0.4294  0.8080  0.9884
F  0.4406  0.6254  0.2996
F  0.5000  0.0000  0.5000
F  0.5594  0.3746  0.7004
F  0.5706  0.1920  0.0116
F  0.6742  0.8590  0.2996
F  0.6804  0.6920  0.6214
F  0.7345  0.5728  0.3072
F  0.7655  0.0728  0.8383
F  0.8196  0.4410  0.0116
F  0.8258  0.1254  0.1848
F  0.9294  0.9410  0.6214
F  0.9406  0.6410  0.8152

symmetry: No. 72
ΔE_f (raw): -2.960 eV/atom
V: 18.09 Å³ per atom